A relaxed Dy8Y5Tm crystal, computed with PBE.

abc: 8.433 8.433 8.433
angles: 110.80 110.80 106.85
Fractional positions:
Dy 0.161 0.427 0.084
Dy 0.923 0.839 0.265
Dy 0.733 0.476 0.396
Dy 0.663 0.267 0.743
Dy 0.524 0.920 0.257
Dy 0.573 0.657 0.735
Dy 0.343 0.077 0.916
Dy 0.080 0.337 0.604
Y 0.034 0.713 0.902
Y 0.867 0.966 0.679
Y 0.812 0.133 0.098
Y 0.500 0.500 0.000
Y 0.287 0.188 0.321
Tm 0.250 0.750 0.500

Summary:
formation energy	0.266	eV per atom
space group	No. 82
crystal system	tetragonal
size of the total moment	0.0	μB/f.u.
density of states at the Fermi level	21.67	states/eV per cell